{"formula": "YScNb3", "functional": "PBE", "state": "relaxed", "e_above_lowest_polymorph_mev_per_atom": 0.0, "total_energy_ev_per_atom": -7.393, "e_form_mev_per_atom": 1208, "lattice": [[-4.704, 0.953, 0.916], [-1.050, -4.751, -0.448], [0.803, -0.628, 4.779]], "species": ["Y", "Sc", "Nb", "Nb", "Nb"], "fractional_positions": [[0.500, 0.500, 0.500], [0.000, 0.000, 0.000], [0.000, 0.500, 0.000], [0.000, 0.000, 0.500], [0.500, 0.000, 0.000]]}